Here is an optimized crystal structure of CaSmNiO4 from Alexandria via LeMat-Bulk. Energies are from PBE+U.

```
data_CaSmNiO4
_cell_length_a 3.7716
_cell_length_b 3.7716
_cell_length_c 11.9641
_cell_angle_alpha 90.00
_cell_angle_beta 90.00
_cell_angle_gamma 90.00
_symmetry_space_group_name_H-M 'I 4 m m'
_symmetry_Int_Tables_number 107
_symmetry_space_group_name_Hall 'I 4 -2'
loop_
_atom_site_label
_atom_site_fract_x
_atom_site_fract_y
_atom_site_fract_z
_atom_site_occupancy
Ca1 0.0000 0.0000 0.0000 1
Sm1 0.0000 0.0000 0.7203 1
Ni1 0.0000 0.0000 0.3637 1
O1 0.0000 0.0000 0.1909 1
O2 0.0000 0.0000 0.5316 1
O3 0.0000 0.5000 0.3542 1
```

Calculated values
Density   6.11 g/cm³
Energy   -6.4887 eV/atom
Spin magnetization   1.00 μB per formula unit
Calculated volume   12.16 A^3/atom